NpNbCrRu: relaxed, PBE.

Lattice parameters (Å, degrees): 4.565 4.565 4.565 60.00 60.00 60.00
Element x y z (fractional)
Np: 0.500 0.500 0.500
Nb: 0.000 0.000 0.000
Ru: 0.750 0.750 0.750
Cr: 0.250 0.250 0.250

Volume = 67 Å³/cell
E_tot = -41.3 eV per cell
SG = F-43m, No. 216
Theoretical density = 11.92 g/cm³